*w*
The following is a PBE calculation of crystalline TiCd3As at its relaxed geometry, from Alexandria via LeMat-Bulk.

The density comes out at 5.593 g/cm³. Its total magnetic moment is 0.0 μB per cell. The calculation puts the density of states at the Fermi level at 1.830 states/eV per atom.

Cell lengths 5.150, 5.150, 5.150 Å; angles 90.00, 90.00, 90.00 degrees
Element x y z (fractional)
Ti 0.000 0.000 0.000
Cd 0.000 0.500 0.500
Cd 0.500 0.000 0.500
Cd 0.500 0.500 0.000
As 0.500 0.500 0.500

*x*
The following is a PBE calculation of crystalline TiCd3As at its relaxed geometry, from Alexandria via LeMat-Bulk.

The density comes out at 5.042 g/cm³. Its total magnetic moment is 1.0 μB per cell. The calculation puts the density of states at the Fermi level at 0.720 states/eV per atom.

Cell lengths 5.331, 5.331, 5.331 Å; angles 90.00, 90.00, 90.00 degrees
Element x y z (fractional)
Ti 0.000 0.000 0.000
Cd 0.000 0.000 0.500
Cd 0.000 0.500 0.000
Cd 0.500 0.000 0.000
As 0.500 0.500 0.500

Relative energies with respect to the most stable structure, expressed in meV per atom: *w* 0; *x* 118.

*w*
The following is a PBE calculation of crystalline Tl2Cd2As at its relaxed geometry, from Alexandria via LeMat-Bulk.

The density comes out at 8.583 g/cm³. Its total magnetic moment is 0.0 μB per cell. The calculation puts the density of states at the Fermi level at 0.418 states/eV per atom.

Cell lengths 7.259, 7.259, 5.203 Å; angles 90.00, 90.00, 90.00 degrees
Element x y z (fractional)
Tl 0.173 0.327 0.000
Tl 0.327 0.827 0.000
Tl 0.673 0.173 0.000
Tl 0.827 0.673 0.000
Cd 0.139 0.639 0.500
Cd 0.361 0.139 0.500
Cd 0.639 0.861 0.500
Cd 0.861 0.361 0.500
As 0.000 0.000 0.500
As 0.500 0.500 0.500

*x*
The following is a PBE calculation of crystalline Tl2Cd2As at its relaxed geometry, from Alexandria via LeMat-Bulk.

The density comes out at 8.066 g/cm³. Its total magnetic moment is 0.0 μB per cell. The calculation puts the density of states at the Fermi level at 0.731 states/eV per atom.

Cell lengths 9.764, 9.764, 9.764 Å; angles 156.67, 156.67, 33.23 degrees
Element x y z (fractional)
Tl 0.089 0.089 0.000
Tl 0.911 0.911 0.000
Cd 0.250 0.750 0.500
Cd 0.750 0.250 0.500
As 0.500 0.500 0.000

Relative energies with respect to the most stable structure, expressed in meV per atom: *w* 0; *x* 143.

*w*
The following is a PBE calculation of crystalline Tl2CdAs at its relaxed geometry, from Alexandria via LeMat-Bulk.

The density comes out at 8.888 g/cm³. Its total magnetic moment is 0.0 μB per cell. The calculation puts the density of states at the Fermi level at 0.158 states/eV per atom.

Cell lengths 3.265, 3.265, 10.460 Å; angles 90.00, 90.00, 92.81 degrees
Element x y z (fractional)
Tl 0.000 0.000 0.221
Tl 0.000 0.000 0.779
Cd 0.500 0.500 0.500
As 0.500 0.500 0.000

*x*
The following is a PBE calculation of crystalline Tl2CdAs at its relaxed geometry, from Alexandria via LeMat-Bulk.

The density comes out at 8.637 g/cm³. Its total magnetic moment is 0.0 μB per cell. The calculation puts the density of states at the Fermi level at 0.324 states/eV per atom.

Cell lengths 6.896, 6.896, 6.896 Å; angles 100.54, 100.54, 129.36 degrees
Element x y z (fractional)
Tl 0.078 0.625 0.953
Tl 0.375 0.328 0.453
Tl 0.672 0.125 0.047
Tl 0.875 0.922 0.547
Cd 0.250 0.750 0.500
Cd 0.500 0.500 0.000
As 0.000 0.000 0.000
As 0.750 0.250 0.500

Relative energies with respect to the most stable structure, expressed in meV per atom: *w* 27; *x* 0.

*w*
The following is a PBE calculation of crystalline TlCdAs2 at its relaxed geometry, from Alexandria via LeMat-Bulk.

The density comes out at 8.360 g/cm³. Its total magnetic moment is 0.0 μB per cell. The calculation puts the density of states at the Fermi level at 0.504 states/eV per atom.

Cell lengths 5.332, 5.332, 3.261 Å; angles 90.00, 90.00, 90.00 degrees
Element x y z (fractional)
Tl 0.000 0.000 0.000
Cd 0.500 0.500 0.000
As 0.000 0.500 0.500
As 0.500 0.000 0.500

*x*
The following is a PBE calculation of crystalline TlCdAs2 at its relaxed geometry, from Alexandria via LeMat-Bulk.

The density comes out at 8.304 g/cm³. Its total magnetic moment is 0.0 μB per cell. The calculation puts the density of states at the Fermi level at 0.443 states/eV per atom.

Cell lengths 5.769, 5.769, 5.769 Å; angles 140.94, 128.47, 66.51 degrees
Element x y z (fractional)
Tl 0.000 0.000 0.000
Cd 0.500 0.500 0.000
As 0.268 0.768 0.500
As 0.732 0.232 0.500

*y*
The following is a PBE calculation of crystalline TlCdAs2 at its relaxed geometry, from Alexandria via LeMat-Bulk.

The density comes out at 7.618 g/cm³. Its total magnetic moment is 0.0 μB per cell. The calculation puts the density of states at the Fermi level at 0.391 states/eV per atom.

Cell lengths 3.781, 3.854, 6.981 Å; angles 90.00, 90.00, 90.00 degrees
Element x y z (fractional)
Tl 0.000 0.000 0.000
Cd 0.000 0.000 0.500
As 0.500 0.500 0.322
As 0.500 0.500 0.678

*z*
The following is a PBE calculation of crystalline TlCdAs2 at its relaxed geometry, from Alexandria via LeMat-Bulk.

The density comes out at 7.343 g/cm³. Its total magnetic moment is 0.0 μB per cell. The calculation puts the density of states at the Fermi level at 0.271 states/eV per atom.

Cell lengths 9.678, 9.678, 9.678 Å; angles 21.38, 21.38, 21.38 degrees
Element x y z (fractional)
Tl 0.000 0.000 0.000
Cd 0.759 0.759 0.759
As 0.232 0.232 0.232
As 0.515 0.515 0.515

Relative energies with respect to the most stable structure, expressed in meV per atom: *w* 243; *x* 230; *y* 62; *z* 0.

*w*
The following is a PBE calculation of crystalline V2CdAs at its relaxed geometry, from Alexandria via LeMat-Bulk.

The density comes out at 6.319 g/cm³. Its total magnetic moment is 0.0 μB per cell. The calculation puts the density of states at the Fermi level at 1.179 states/eV per atom.

Cell lengths 9.560, 9.560, 9.560 Å; angles 155.33, 155.33, 35.17 degrees
Element x y z (fractional)
V 0.375 0.227 0.352
V 0.773 0.125 0.148
V 0.875 0.023 0.648
V 0.977 0.625 0.852
Cd 0.250 0.750 0.500
Cd 0.500 0.500 0.000
As 0.000 0.000 0.000
As 0.750 0.250 0.500

*x*
The following is a PBE calculation of crystalline V2CdAs at its relaxed geometry, from Alexandria via LeMat-Bulk.

The density comes out at 7.594 g/cm³. Its total magnetic moment is 2.2 μB per cell. The calculation puts the density of states at the Fermi level at 1.047 states/eV per atom.

Cell lengths 4.472, 4.472, 4.472 Å; angles 60.00, 60.00, 60.00 degrees
Element x y z (fractional)
V 0.250 0.250 0.250
V 0.750 0.750 0.750
Cd 0.000 0.000 0.000
As 0.500 0.500 0.500

Relative energies with respect to the most stable structure, expressed in meV per atom: *w* 214; *x* 0.

*w*
The following is a PBE calculation of crystalline V3CdAs at its relaxed geometry, from Alexandria via LeMat-Bulk.

The density comes out at 4.813 g/cm³. Its total magnetic moment is 7.1 μB per cell. The calculation puts the density of states at the Fermi level at 2.220 states/eV per atom.

Cell lengths 4.896, 4.896, 4.896 Å; angles 90.00, 90.00, 90.00 degrees
Element x y z (fractional)
V 0.000 0.000 0.500
V 0.000 0.500 0.000
V 0.500 0.000 0.000
Cd 0.000 0.000 0.000
As 0.500 0.500 0.500

*x*
The following is a PBE calculation of crystalline V3CdAs at its relaxed geometry, from Alexandria via LeMat-Bulk.

The density comes out at 5.879 g/cm³. Its total magnetic moment is 4.5 μB per cell. The calculation puts the density of states at the Fermi level at 1.182 states/eV per atom.

Cell lengths 4.580, 4.580, 4.580 Å; angles 90.00, 90.00, 90.00 degrees
Element x y z (fractional)
V 0.000 0.000 0.500
V 0.000 0.500 0.000
V 0.500 0.000 0.000
Cd 0.500 0.500 0.500
As 0.000 0.000 0.000

Relative energies with respect to the most stable structure, expressed in meV per atom: *w* 1091; *x* 0.

*w*
The following is a PBE calculation of crystalline CdAsW3 at its relaxed geometry, from Alexandria via LeMat-Bulk.

The density comes out at 12.268 g/cm³. Its total magnetic moment is 0.0 μB per cell. The calculation puts the density of states at the Fermi level at 1.448 states/eV per atom.

Cell lengths 4.642, 4.642, 4.642 Å; angles 90.00, 90.00, 90.00 degrees
Element x y z (fractional)
Cd 0.000 0.000 0.000
As 0.500 0.500 0.500
W 0.000 0.500 0.500
W 0.500 0.000 0.500
W 0.500 0.500 0.000

*x*
The following is a PBE calculation of crystalline CdAsW3 at its relaxed geometry, from Alexandria via LeMat-Bulk.

The density comes out at 10.651 g/cm³. Its total magnetic moment is 0.0 μB per cell. The calculation puts the density of states at the Fermi level at 1.703 states/eV per atom.

Cell lengths 4.866, 4.866, 4.866 Å; angles 90.00, 90.00, 90.00 degrees
Element x y z (fractional)
Cd 0.000 0.000 0.000
As 0.500 0.500 0.500
W 0.000 0.000 0.500
W 0.000 0.500 0.000
W 0.500 0.000 0.000

Relative energies with respect to the most stable structure, expressed in meV per atom: *w* 0; *x* 1553.

*w*
The following is a PBE calculation of crystalline Zr2CdAs at its relaxed geometry, from Alexandria via LeMat-Bulk.

The density comes out at 7.536 g/cm³. Its total magnetic moment is 0.0 μB per cell. The calculation puts the density of states at the Fermi level at 0.733 states/eV per atom.

Cell lengths 4.962, 4.962, 3.391 Å; angles 90.00, 90.00, 102.62 degrees
Element x y z (fractional)
Zr 0.000 0.500 0.000
Zr 0.500 0.000 0.000
Cd 0.000 0.000 0.500
As 0.500 0.500 0.500

*x*
The following is a PBE calculation of crystalline Zr2CdAs at its relaxed geometry, from Alexandria via LeMat-Bulk.

The density comes out at 6.970 g/cm³. Its total magnetic moment is 0.0 μB per cell. The calculation puts the density of states at the Fermi level at 0.928 states/eV per atom.

Cell lengths 6.183, 6.183, 6.183 Å; angles 103.97, 103.97, 121.14 degrees
Element x y z (fractional)
Zr 0.101 0.125 0.476
Zr 0.375 0.899 0.024
Zr 0.649 0.625 0.524
Zr 0.875 0.351 0.976
Cd 0.250 0.750 0.500
Cd 0.500 0.500 0.000
As 0.000 0.000 0.000
As 0.750 0.250 0.500

*y*
The following is a PBE calculation of crystalline Zr2CdAs at its relaxed geometry, from Alexandria via LeMat-Bulk.

The density comes out at 7.010 g/cm³. Its total magnetic moment is 0.0 μB per cell. The calculation puts the density of states at the Fermi level at 1.216 states/eV per atom.

Cell lengths 3.221, 3.221, 8.761 Å; angles 90.00, 90.00, 105.55 degrees
Element x y z (fractional)
Zr 0.000 0.000 0.000
Zr 0.500 0.500 0.269
Cd 0.500 0.500 0.728
As 0.000 0.000 0.481

Relative energies with respect to the most stable structure, expressed in meV per atom: *w* 0; *x* 74; *y* 154.